# 1
The following is a DFT calculation (PBE-GGA) of a geometry-optimized Ta2AlPb structure.

Calculated values
Final energy (eV/atom): -7.167
ΔE_f (eV/f.u.): 2.5
N(E_F) (states/eV per atom): 1.07
M_tot (Bohr magnetons per cell): 0.00
Symmetry: I-42d

Cell lengths 4.038, 4.038, 10.656 Å; angles 79.08, 79.08, 90.00 degrees
Element x y z (fractional)
Pb: 0.000 0.000 0.000
Pb: 0.750 0.250 0.500
Al: 0.500 0.500 0.000
Al: 0.250 0.750 0.500
Ta: 0.616 0.125 0.250
Ta: 0.134 0.625 0.250
Ta: 0.375 0.384 0.750
Ta: 0.875 0.866 0.750

# 2
The following is a DFT calculation (PBE-GGA) of a geometry-optimized MgOs2Pb structure.

Calculated values
Final energy (eV/atom): -6.163
ΔE_f (eV/f.u.): 3.1
N(E_F) (states/eV per atom): 1.57
M_tot (Bohr magnetons per cell): 0.09
Symmetry: I4/mmm

Cell lengths 4.988, 4.988, 4.988 Å; angles 131.35, 131.35, 71.26 degrees
Element x y z (fractional)
Mg: 0.750 0.250 0.500
Os: 0.000 0.000 0.000
Os: 0.500 0.500 0.000
Pb: 0.250 0.750 0.500